4
Lattice="3.0792 0.0000 0.0000 0.0000 3.8646 0.0000 0.0000 0.0000 6.0201" Properties=species:S:1:pos:R:3 comment="Li2MgAg GGA-PBE relaxed" e_form_ev_per_atom=-0.144 spacegroup="No. 47" pbc="T T T"
Li 0.0000 0.0000 1.3472
Li 0.0000 0.0000 4.6729
Mg 1.5396 1.9323 3.0101
Ag 1.5396 1.9323 0.0000



12
Lattice="4.4161 -4.4708 0.0000 4.4161 4.4708 0.0000 0.0000 0.0000 5.7559" Properties=species:S:1:pos:R:3 comment="LiMg2Ag3 GGA-PBE relaxed" e_form_ev_per_atom=-0.110 e_above_lowest_polymorph_mev_per_atom=114.0 spacegroup="No. 63" pbc="T T T"
Li 4.4161 2.4285 4.3170
Li 4.4161 -2.4285 1.4390
Mg 2.9018 2.0167 1.4390
Mg 5.9304 2.0167 1.4390
Mg 2.9018 -2.0167 4.3170
Mg 5.9304 -2.0167 4.3170
Ag 1.4377 0.0000 0.0000
Ag 1.4377 0.0000 2.8780
Ag 4.4161 0.0000 0.0000
Ag 4.4161 0.0000 2.8780
Ag 7.3945 0.0000 0.0000
Ag 7.3945 0.0000 2.8780



4
Lattice="3.0138 0.0000 0.0000 0.0000 4.6498 0.0000 -1.2119 0.0000 5.4735" Properties=species:S:1:pos:R:3 comment="LiMg2Ag GGA-PBE relaxed" e_form_ev_per_atom=-0.134 e_above_lowest_polymorph_mev_per_atom=77.0 spacegroup="No. 6" pbc="T T T"
Li 0.0000 0.0000 0.0000
Mg 0.4378 0.0000 2.9061
Mg 1.7014 2.3249 1.1661
Ag 2.0979 2.3249 4.0673



11
Lattice="4.2333 -4.8209 0.0000 4.2333 4.8209 0.0000 -2.0414 0.0000 4.9510" Properties=species:S:1:pos:R:3 comment="Li3MgAg7 GGA-PBE relaxed" e_form_ev_per_atom=-0.027 spacegroup="No. 12" pbc="T T T"
Li 0.0000 0.0000 0.0000
Li 3.2126 2.5911 2.4755
Li 3.2126 -2.5911 2.4755
Mg 4.2333 0.0000 0.0000
Ag 1.0937 2.5356 4.0090
Ag 0.4082 0.0000 2.7331
Ag 5.3315 2.5356 0.9420
Ag 3.2126 0.0000 2.4755
Ag 1.0937 -2.5356 4.0090
Ag 6.0170 0.0000 2.2178
Ag 5.3315 -2.5356 0.9420



16
Lattice="-3.5536 3.5536 5.4380 3.5536 -3.5536 5.4380 3.5536 3.5536 -5.4380" Properties=species:S:1:pos:R:3 comment="Li2MgAg5 GGA-PBE relaxed" e_form_ev_per_atom=-0.122 e_above_lowest_polymorph_mev_per_atom=54.7 spacegroup="No. 140" pbc="T T T"
Li 4.6126 1.0590 0.0000
Li 1.0590 2.4946 0.0000
Li 2.4946 1.0590 5.4380
Li -1.0590 2.4946 5.4380
Mg 0.0000 0.0000 2.7190
Mg 0.0000 0.0000 8.1570
Ag 0.0000 0.0000 0.0000
Ag 4.6111 -1.0575 1.6830
Ag 2.4961 -1.0575 3.7550
Ag 2.4961 1.0575 1.6830
Ag 4.6111 1.0575 3.7550
Ag 0.0000 0.0000 5.4380
Ag -1.0575 2.4961 1.6830
Ag 1.0575 2.4961 3.7550
Ag 1.0575 4.6111 1.6830
Ag -1.0575 4.6111 3.7550



18
Lattice="-6.8521 3.5581 3.6003 6.8521 -3.5581 3.6003 6.8521 3.5581 -3.6003" Properties=species:S:1:pos:R:3 comment="Li2Mg2Ag5 GGA-PBE relaxed" e_form_ev_per_atom=-0.067 e_above_lowest_polymorph_mev_per_atom=116.0 spacegroup="No. 46" pbc="T T T"
Li 0.0000 0.0000 0.0000
Li 6.8521 0.0000 0.0000
Li 3.4260 0.2074 0.0456
Li 3.4260 3.3507 3.6459
Mg 1.7669 -0.1238 2.6781
Mg 5.0851 -0.1238 2.6781
Mg 1.7669 3.6819 -0.9222
Mg 5.0851 3.6819 -0.9222
Ag 3.4260 -1.3703 4.9092
Ag -0.6471 2.2376 1.3259
Ag 7.4992 2.2376 1.3259
Ag 2.0625 2.2940 1.4862
Ag 4.7896 2.2940 1.4862
Ag 0.6471 4.8787 1.3259
Ag -0.6471 1.3206 4.9262
Ag 3.4260 4.9284 1.3089
Ag -2.0625 4.8223 1.4862
Ag 2.0625 1.2642 5.0865



16
Lattice="5.7961 0.0000 0.0000 0.0000 11.6245 0.0000 0.0000 0.0000 4.0924" Properties=species:S:1:pos:R:3 comment="Li2MgAg5 GGA-PBE relaxed" e_form_ev_per_atom=-0.177 e_above_lowest_polymorph_mev_per_atom=0.0 spacegroup="No. 55" pbc="T T T"
Li 1.2690 1.5465 0.0000
Li 1.6290 7.3587 0.0000
Li 4.1671 4.2657 0.0000
Li 4.5271 10.0780 0.0000
Mg 0.0000 5.8122 2.0462
Mg 2.8981 0.0000 2.0462
Ag 0.0000 0.0000 2.0462
Ag 0.1374 8.6970 2.0462
Ag 1.3339 4.4150 0.0000
Ag 1.5642 10.2272 0.0000
Ag 2.7607 2.8847 2.0462
Ag 2.8981 5.8122 2.0462
Ag 3.0355 8.7397 2.0462
Ag 4.2320 1.3973 0.0000
Ag 4.4622 7.2095 0.0000
Ag 5.6588 2.9275 2.0462



18
Lattice="6.9660 -4.8647 0.0000 6.9660 4.8647 0.0000 -0.6614 0.0000 4.9192" Properties=species:S:1:pos:R:3 comment="Li2Mg4Ag3 GGA-PBE relaxed" e_form_ev_per_atom=-0.161 spacegroup="No. 15" pbc="T T T"
Li 2.8799 1.2988 1.7783
Li 2.5492 -1.2988 4.2379
Li 10.7214 1.2988 0.6813
Li 10.3907 -1.2988 3.1409
Mg 5.2406 3.7254 0.8837
Mg 8.3607 3.7254 1.5759
Mg 5.7477 1.2022 2.3645
Mg 7.8536 1.2022 0.0951
Mg 5.4170 -1.2022 4.8241
Mg 7.5229 -1.2022 2.5547
Mg 4.9099 -3.7254 3.3433
Mg 8.0300 -3.7254 4.0355
Ag 6.4700 3.6388 3.6894
Ag 3.9356 1.1865 4.5681
Ag 4.2663 -1.1865 2.1085
Ag 9.0043 1.1865 2.8106
Ag 9.3350 -1.1865 0.3510
Ag 6.8007 -3.6388 1.2298



13
Lattice="3.8578 -7.2728 0.0000 3.8578 7.2728 0.0000 0.0000 0.0000 4.7890" Properties=species:S:1:pos:R:3 comment="Li8Mg3Ag2 GGA-PBE relaxed" e_form_ev_per_atom=-0.013 e_above_lowest_polymorph_mev_per_atom=0.0 spacegroup="No. 65" pbc="T T T"
Li 3.8578 5.5504 0.0000
Li 2.3858 1.8709 2.3945
Li 3.8578 2.7834 0.0000
Li 2.3858 -1.8709 2.3945
Li 5.3298 1.8709 2.3945
Li 3.8578 -2.7834 0.0000
Li 5.3298 -1.8709 2.3945
Li 3.8578 -5.5504 0.0000
Mg 0.0000 0.0000 2.3945
Mg 2.3765 0.0000 0.0000
Mg 5.3391 0.0000 0.0000
Ag 3.8578 4.2303 2.3945
Ag 3.8578 -4.2303 2.3945



3
Lattice="0.0000 3.2124 3.2124 3.2124 0.0000 3.2124 3.2124 3.2124 0.0000" Properties=species:S:1:pos:R:3 comment="LiMgAg GGA-PBE relaxed" e_form_ev_per_atom=-0.021 e_above_lowest_polymorph_mev_per_atom=183.9 spacegroup="No. 216" pbc="T T T"
Li 0.0000 0.0000 0.0000
Mg 3.2124 3.2124 3.2124
Ag 4.8186 4.8186 4.8186



8
Lattice="4.1913 0.0000 0.0000 0.0000 4.1913 0.0000 0.0000 0.0000 8.3638" Properties=species:S:1:pos:R:3 comment="Li6MgAg GGA-PBE relaxed" e_form_ev_per_atom=-0.083 spacegroup="No. 123" pbc="T T T"
Li 0.0000 0.0000 0.0000
Li 0.0000 0.0000 4.1819
Li 0.0000 2.0956 1.9357
Li 0.0000 2.0956 6.4281
Li 2.0956 0.0000 1.9357
Li 2.0956 0.0000 6.4281
Mg 2.0956 2.0956 4.1819
Ag 2.0956 2.0956 0.0000



10
Lattice="3.4109 0.0000 0.0000 0.0000 3.4109 0.0000 0.0000 0.0000 16.5112" Properties=species:S:1:pos:R:3 comment="Li5Mg4Ag GGA-PBE relaxed" e_form_ev_per_atom=-0.093 spacegroup="No. 123" pbc="T T T"
Li 0.0000 0.0000 0.0000
Li 0.0000 0.0000 3.4419
Li 0.0000 0.0000 6.8732
Li 0.0000 0.0000 9.6381
Li 0.0000 0.0000 13.0693
Mg 1.7055 1.7055 1.7239
Mg 1.7055 1.7055 5.1535
Mg 1.7055 1.7055 11.3578
Mg 1.7055 1.7055 14.7873
Ag 1.7055 1.7055 8.2556